one:
Computed, not measured: LiOsRu2 at its PBEsol-relaxed geometry at the SCAN level of DFT.

Lattice parameters (Å, degrees): 4.345 4.345 2.789 90.00 90.00 90.00
Space group P4/mmm (No. 123)
One atom of each set of equivalent atoms:
Li  0.000  0.000  0.000 x1
Os  0.500  0.500  0.000 x1
Ru  0.000  0.500  0.500 x2


two:
Computed, not measured: LiOsRu2 at its PBEsol-relaxed geometry at the SCAN level of DFT.

Lattice parameters (Å, degrees): 5.926 5.926 5.926 90.00 90.00 90.00
Space group Fm-3m (No. 225)
One atom of each set of equivalent atoms:
Li  0.000  0.000  0.000 x4
Os  0.000  0.000  0.500 x4
Ru  0.250  0.250  0.250 x8


Which one sits at the top of the stability order? two does.


one:
Computed, not measured: LiOsSe at its PBEsol-relaxed geometry at the SCAN level of DFT.

Lattice parameters (Å, degrees): 4.1067 4.1067 3.0963 90.00 90.00 120.00
Space group P-6m2 (No. 187)
One atom of each set of equivalent atoms:
Li  0.0000  0.0000  0.0000 x1
Os  0.6667  0.3333  0.5000 x1
Se  0.3333  0.6667  0.5000 x1


two:
Computed, not measured: LiOsSe at its PBEsol-relaxed geometry at the SCAN level of DFT.

Lattice parameters (Å, degrees): 5.684 5.684 5.684 90.00 90.00 90.00
Space group F-43m (No. 216)
One atom of each set of equivalent atoms:
Li  0.000  0.000  0.000 x4
Os  0.000  0.000  0.500 x4
Se  0.250  0.250  0.250 x4


Which one sits at the top of the stability order? one does.


one:
Computed, not measured: LiSiOs at its PBEsol-relaxed geometry at the SCAN level of DFT.

Lattice parameters (Å, degrees): 5.349 5.349 5.349 90.00 90.00 90.00
Space group F-43m (No. 216)
One atom of each set of equivalent atoms:
Li  0.000  0.000  0.000 x4
Si  0.250  0.250  0.250 x4
Os  0.250  0.250  0.750 x4


two:
Computed, not measured: LiSiOs at its PBEsol-relaxed geometry at the SCAN level of DFT.

Lattice parameters (Å, degrees): 3.076 3.076 7.627 90.00 90.00 90.00
Space group I4mm (No. 107)
One atom of each set of equivalent atoms:
Li  0.000  0.000  0.000 x2
Si  0.000  0.000  0.325 x2
Os  0.000  0.000  0.670 x2


Which one sits at the top of the stability order? two does.


one:
Computed, not measured: LiTcOs2 at its PBEsol-relaxed geometry at the SCAN level of DFT.

Lattice parameters (Å, degrees): 2.646 3.982 5.153 90.00 104.13 90.00
Space group P2/m (No. 10)
One atom of each set of equivalent atoms:
Li  0.000  0.000  0.000 x1
Tc  0.000  0.000  0.500 x1
Os  0.410  0.500  0.234 x2


two:
Computed, not measured: LiTcOs2 at its PBEsol-relaxed geometry at the SCAN level of DFT.

Lattice parameters (Å, degrees): 2.770 4.483 9.057 90.00 90.00 90.00
Space group Cmmm (No. 65)
One atom of each set of equivalent atoms:
Li  0.000  0.000  0.000 x2
Tc  0.000  0.000  0.500 x2
Os  0.000  0.500  0.253 x4


three:
Computed, not measured: LiTcOs2 at its PBEsol-relaxed geometry at the SCAN level of DFT.

Lattice parameters (Å, degrees): 2.932 4.240 8.391 90.00 90.00 90.00
Space group Imm2 (No. 44)
One atom of each set of equivalent atoms:
Li  0.000  0.000  0.000 x2
Tc  0.000  0.500  0.256 x2
Os  0.000  0.000  0.501 x2
Os  0.000  0.500  0.742 x2


Which one sits at the top of the stability order? three does.